Computed, not measured: Ho2Os after structural relaxation at the PBE-GGA level of DFT.

Results
total magnetization: 0.01 μB/f.u.
DFT formation energy: 1099 meV per atom

Unit cell a=8.116 b=8.116 c=8.116 alpha=90.00 beta=90.00 gamma=90.00
Space group Fd-3m (No. 227, origin choice 2)
Inequivalent atoms, fractional coordinates:
Ho 0.000 0.000 0.000 x16
Os 0.125 0.125 0.625 x8

---

Computed, not measured: LiHoCd2Au4 after structural relaxation at the PBE-GGA level of DFT.

Results
total magnetization: 0.00 μB/f.u.
E: -25.517 eV/cell

Unit cell a=4.827 b=4.827 c=6.722 alpha=90.00 beta=90.00 gamma=90.00
Space group P4/mmm (No. 123)
Inequivalent atoms, fractional coordinates:
Li 0.000 0.000 0.000 x1
Ho 0.500 0.500 0.500 x1
Cd 0.000 0.000 0.500 x1
Cd 0.500 0.500 0.000 x1
Au 0.000 0.500 0.233 x4

---

Computed, not measured: LiHoBeS3 after structural relaxation at the PBE-GGA level of DFT.

Results
total magnetization: 0.00 μB/f.u.
E: -125.842 eV/cell

Unit cell a=3.695 b=12.069 c=10.454 alpha=90.00 beta=90.00 gamma=90.00
Space group Cmcm (No. 63)
Inequivalent atoms, fractional coordinates:
Li 0.000 0.226 0.250 x4
Ho 0.000 0.000 0.000 x4
Be 0.000 0.470 0.750 x4
S 0.000 0.076 0.750 x4
S 0.000 0.362 0.593 x8

---

Computed, not measured: ErSb2 after structural relaxation at the PBE-GGA level of DFT.

Results
total magnetization: 0.01 μB/f.u.
E: -86.924 eV/cell

Unit cell a=13.451 b=13.451 c=13.451 alpha=90.00 beta=90.00 gamma=90.00
Space group Fd-3m (No. 227, origin choice 2)
Inequivalent atoms, fractional coordinates:
Er 0.125 0.125 0.125 x8
Sb 0.000 0.000 0.000 x16

---

Computed, not measured: La2YGa2Ni4 after structural relaxation at the PBE-GGA level of DFT.

Results
total magnetization: 0.01 μB/f.u.
E: -98.533 eV/cell

Unit cell a=9.966 b=4.203 c=8.320 alpha=90.00 beta=98.54 gamma=90.00
Space group C2/m (No. 12)
Inequivalent atoms, fractional coordinates:
La 0.123 0.000 0.376 x4
Y 0.000 0.500 0.000 x2
Ga 0.179 0.000 0.791 x4
Ni 0.084 0.500 0.641 x4
Ni 0.237 0.000 0.085 x4

---

Computed, not measured: InFeNiW after structural relaxation at the PBE-GGA level of DFT.

Results
total magnetization: 1.63 μB/f.u.
excess energy over the best structure of this formula in the dataset: 1.29 eV per formula unit

Unit cell a=6.196 b=6.196 c=6.196 alpha=90.00 beta=90.00 gamma=90.00
Space group F-43m (No. 216)
Inequivalent atoms, fractional coordinates:
In 0.000 0.000 0.000 x4
Fe 0.250 0.250 0.250 x4
Ni 0.000 0.000 0.500 x4
W 0.250 0.250 0.750 x4

---

Computed, not measured: Sm3Zr3Te2Os after structural relaxation at the PBE-GGA level of DFT.

Results
total magnetization: 0.55 μB/f.u.
excess energy over the best structure of this formula in the dataset: 0.00 eV per formula unit

Unit cell a=8.1714 b=8.1714 c=3.9265 alpha=90.00 beta=90.00 gamma=120.00
Space group P-62m (No. 189)
Inequivalent atoms, fractional coordinates:
Sm 0.0000 0.4014 0.0000 x3
Zr 0.0000 0.7666 0.5000 x3
Te 0.3333 0.6667 0.5000 x2
Os 0.0000 0.0000 0.0000 x1

---

Computed, not measured: YBeInCo after structural relaxation at the PBE-GGA level of DFT.

Results
total magnetization: 0.92 μB/f.u.
excess energy over the best structure of this formula in the dataset: 0.00 eV per formula unit

Unit cell a=6.457 b=6.457 c=6.457 alpha=90.00 beta=90.00 gamma=90.00
Space group F-43m (No. 216)
Inequivalent atoms, fractional coordinates:
Y 0.000 0.000 0.000 x4
Be 0.250 0.250 0.250 x4
In 0.000 0.000 0.500 x4
Co 0.250 0.250 0.750 x4

---

Computed, not measured: YInFeMo after structural relaxation at the PBE-GGA level of DFT.

Results
total magnetization: 3.84 μB/f.u.
excess energy over the best structure of this formula in the dataset: 0.00 eV per formula unit

Unit cell a=6.729 b=6.729 c=6.729 alpha=90.00 beta=90.00 gamma=90.00
Space group F-43m (No. 216)
Inequivalent atoms, fractional coordinates:
Y 0.000 0.000 0.000 x4
In 0.000 0.000 0.500 x4
Fe 0.250 0.250 0.750 x4
Mo 0.250 0.250 0.250 x4

---

Computed, not measured: NdB after structural relaxation at the PBE-GGA level of DFT.

Results
total magnetization: 0.01 μB/f.u.
excess energy over the best structure of this formula in the dataset: 0.54 eV per formula unit

Unit cell a=3.5899 b=3.5899 c=3.7379 alpha=90.00 beta=90.00 gamma=120.00
Space group P-6m2 (No. 187)
Inequivalent atoms, fractional coordinates:
Nd 0.0000 0.0000 0.0000 x1
B 0.3333 0.6667 0.5000 x1

---

Computed, not measured: BaHgPbBr2O2 after structural relaxation at the PBE-GGA level of DFT.

Results
E: -58.159 eV/cell

Unit cell a=12.159 b=4.170 c=8.217 alpha=90.00 beta=121.87 gamma=90.00
Space group Cm (No. 8)
Inequivalent atoms, fractional coordinates:
Ba 0.000 0.000 0.000 x2
Hg 0.322 0.500 0.274 x2
Pb 0.124 0.500 0.483 x2
Br 0.253 0.000 0.925 x2
Br 0.397 0.000 0.620 x2
O 0.011 0.000 0.341 x2
O 0.133 0.500 0.206 x2

---

Computed, not measured: Tc2PdO4 after structural relaxation at the PBE-GGA level of DFT.

Results
total magnetization: 3.99 μB/f.u.
E: -406.632 eV/cell

Unit cell a=8.807 b=8.807 c=8.807 alpha=90.00 beta=90.00 gamma=90.00
Space group Fd-3m (No. 227, origin choice 2)
Inequivalent atoms, fractional coordinates:
Tc 0.000 0.000 0.000 x16
Pd 0.125 0.125 0.625 x8
O 0.017 0.017 0.233 x32